Computed, not measured: GeH2Se2 after structural relaxation at the PBE level of DFT.

a b c (Å): 4.1655 4.1655 14.7736
angles (deg): 99.99 99.99 67.05
Sites, in units of the cell vectors:
Ge1 0.1483 0.8517 0.7500
Ge2 0.8517 0.1483 0.2500
H1 0.3113 0.3349 0.9063
H2 0.3349 0.3113 0.4063
H3 0.6651 0.6887 0.5937
H4 0.6887 0.6651 0.0937
Se1 0.0510 0.5763 0.1436
Se2 0.4237 0.9490 0.3564
Se3 0.5763 0.0510 0.6436
Se4 0.9490 0.4237 0.8564

## Properties
Its space group is C2/c. The polymorph energy (0 for the lowest one) is 0.0 kJ per mole of atoms. The total magnetization comes out at 0.00 Bohr magnetons per cell. Its uncorrected energy is -3.72 eV/atom.